Record 1
Material: CaAc2Ge
Method: DFT, PBE
State: relaxed

Unit cell a=4.0628 b=4.0628 c=9.0120 alpha=90.00 beta=90.00 gamma=90.00
With the nearest neighbours (Å) after each atom.
Fractional positions:
Ca1 0.5000 0.5000 0.5000  8 Ac 4.04, 4 Ca 4.06, 2 Ge 4.51
Ac1 0.0000 0.0000 0.1849  4 Ge 3.32, 1 Ac 3.33
Ac2 0.0000 0.0000 0.8151  4 Ge 3.32, 1 Ac 3.33
Ge1 0.5000 0.5000 0.0000  8 Ac 3.32

**Total magnetic moment**: 0.00 μB/cell
**Symmetry**: P4/mmm, No. 123
**Raw total energy**: -15.85 eV/cell
**DFT formation energy**: -0.25 eV/atom


Record 2
Material: CaAc2Ge
Method: DFT, PBE
State: relaxed

Unit cell a=4.6611 b=8.7031 c=8.1035 alpha=90.00 beta=90.00 gamma=105.53
With the nearest neighbours (Å) after each atom.
Fractional positions:
Ge1 0.1955 0.3910 0.2500  1 Ca 3.07, 6 Ac 3.22-3.27
Ge2 0.8045 0.6090 0.7500  1 Ca 3.07, 6 Ac 3.22-3.27
Ac1 0.6489 0.2977 0.9929  3 Ge 3.22-3.27
Ac2 0.3511 0.7023 0.4929  3 Ge 3.22-3.27
Ac3 0.3511 0.7023 0.0071  3 Ge 3.22-3.27
Ac4 0.6489 0.2977 0.5071  3 Ge 3.22-3.27
Ca1 0.9878 0.9756 0.7500  1 Ge 3.07
Ca2 0.0122 0.0244 0.2500  1 Ge 3.07

**Total magnetic moment**: 0.00 μB/cell
**Symmetry**: Cmcm, No. 63
**Raw total energy**: -32.09 eV/cell
**DFT formation energy**: -0.30 eV/atom


Record 3
Material: CaAcGe2
Method: DFT, PBE
State: relaxed

Unit cell a=4.1892 b=8.8829 c=11.8365 alpha=90.00 beta=90.00 gamma=90.00
With the nearest neighbours (Å) after each atom.
Fractional positions:
Ge1 0.2500 0.6610 0.3217  2 Ge 2.65, 1 Ca 2.90
Ge2 0.2500 0.1610 0.1783  2 Ge 2.65, 1 Ca 2.90
Ge3 0.2500 0.2508 0.5585  2 Ge 2.65
Ge4 0.7500 0.3390 0.6783  2 Ge 2.65, 1 Ca 2.90
Ge5 0.2500 0.7508 0.9415  2 Ge 2.65
Ge6 0.7500 0.8390 0.8217  2 Ge 2.65, 1 Ca 2.90
Ge7 0.7500 0.2492 0.0585  2 Ge 2.65
Ge8 0.7500 0.7492 0.4415  2 Ge 2.65
Ca1 0.7500 0.0089 0.6122  5 Ge 2.90-3.07
Ca2 0.7500 0.5089 0.8878  5 Ge 2.90-3.07
Ca3 0.2500 0.4911 0.1122  5 Ge 2.90-3.07
Ca4 0.2500 0.9911 0.3878  5 Ge 2.90-3.07
Ac1 0.2500 0.6283 0.6373  7 Ge 3.30-3.56
Ac2 0.7500 0.3717 0.3627  7 Ge 3.30-3.56
Ac3 0.7500 0.8717 0.1373  7 Ge 3.30-3.56
Ac4 0.2500 0.1283 0.8627  7 Ge 3.30-3.56

**Total magnetic moment**: 0.00 μB/cell
**Symmetry**: Pnma, No. 62
**Raw total energy**: -71.58 eV/cell
**DFT formation energy**: -0.64 eV/atom


Record 4
Material: Ca2AcGe
Method: DFT, PBE
State: relaxed

Unit cell a=4.5344 b=6.7807 c=9.4093 alpha=90.00 beta=90.00 gamma=109.54
With the nearest neighbours (Å) after each atom.
Fractional positions:
Ge1 0.7518 0.5040 0.7500  6 Ca 3.13-3.21, 2 Ac 3.34
Ge2 0.2482 0.4960 0.2500  6 Ca 3.13-3.21, 2 Ac 3.34
Ca1 0.6506 0.3012 0.0626  3 Ge 3.13-3.21
Ca2 0.3494 0.6988 0.5626  3 Ge 3.13-3.21
Ca3 0.3494 0.6988 0.9374  3 Ge 3.13-3.21
Ca4 0.6506 0.3012 0.4374  3 Ge 3.13-3.21
Ac1 0.9398 0.8795 0.2500  2 Ge 3.34
Ac2 0.0602 0.1205 0.7500  2 Ge 3.34

**Total magnetic moment**: 1.51 μB/cell
**Symmetry**: Cmcm, No. 63
**Raw total energy**: -28.51 eV/cell
**DFT formation energy**: -0.38 eV/atom


Record 5
Material: Ca4Ac3Ge4
Method: DFT, PBE
State: relaxed

Unit cell a=4.4654 b=9.0134 c=9.7648 alpha=117.49 beta=103.22 gamma=90.00
With the nearest neighbours (Å) after each atom.
Fractional positions:
Ge1 0.5000 0.2218 0.0000  2 Ca 3.01, 2 Ac 3.36
Ge2 0.5000 0.7782 0.0000  2 Ca 3.01, 2 Ac 3.36
Ge3 0.2446 0.7446 0.4892  6 Ca 3.05-3.12, 2 Ac 3.39
Ge4 0.7554 0.2554 0.5108  6 Ca 3.05-3.12, 2 Ac 3.39
Ca1 0.3267 0.5164 0.6534  4 Ge 3.01-3.12
Ca2 0.3267 0.1370 0.6534  4 Ge 3.01-3.12
Ca3 0.6733 0.4836 0.3466  4 Ge 3.01-3.12
Ca4 0.6733 0.8630 0.3466  4 Ge 3.01-3.12
Ac1 0.8973 0.8973 0.7947  6 Ge 3.39-3.45, 1 Ac 3.44, 4 Ca 3.77
Ac2 0.1027 0.1027 0.2053  6 Ge 3.39-3.45, 1 Ac 3.44, 4 Ca 3.77
Ac3 0.0000 0.5000 0.0000  4 Ge 3.36

**Total magnetic moment**: 0.00 μB/cell
**Symmetry**: Immm, No. 71
**Raw total energy**: -45.32 eV/cell
**DFT formation energy**: -0.59 eV/atom


Record 6
Material: CaAc4Ge4
Method: DFT, PBE
State: relaxed

Unit cell a=6.5509 b=9.4729 c=9.4729 alpha=90.00 beta=90.00 gamma=90.00
With the nearest neighbours (Å) after each atom.
Fractional positions:
Ac1 0.8637 0.5823 0.8087  5 Ge 3.18-3.45
Ac2 0.1363 0.8087 0.4177  5 Ge 3.18-3.45
Ac3 0.3637 0.3087 0.9177  5 Ge 3.18-3.45
Ac4 0.1363 0.1913 0.5823  5 Ge 3.18-3.45
Ac5 0.6363 0.0823 0.3087  5 Ge 3.18-3.45
Ac6 0.6363 0.9177 0.6913  5 Ge 3.18-3.45
Ac7 0.3637 0.6913 0.0823  5 Ge 3.18-3.45
Ac8 0.8637 0.4177 0.1913  5 Ge 3.18-3.45
Ca1 0.5000 0.5000 0.5000  4 Ge 2.87
Ca2 0.0000 0.0000 0.0000  4 Ge 2.87
Ge1 0.6521 0.2474 0.6291  1 Ge 2.63, 1 Ca 2.87
Ge2 0.3479 0.3709 0.2474  1 Ge 2.63, 1 Ca 2.87
Ge3 0.1521 0.1291 0.2526  1 Ge 2.63, 1 Ca 2.87
Ge4 0.8479 0.7474 0.1291  1 Ge 2.63, 1 Ca 2.87
Ge5 0.6521 0.7526 0.3709  1 Ge 2.63, 1 Ca 2.87
Ge6 0.3479 0.6291 0.7526  1 Ge 2.63, 1 Ca 2.87
Ge7 0.8479 0.2526 0.8709  1 Ge 2.63, 1 Ca 2.87
Ge8 0.1521 0.8709 0.7474  1 Ge 2.63, 1 Ca 2.87

**Total magnetic moment**: 0.00 μB/cell
**Symmetry**: P4_2/n, No. 86
**Raw total energy**: -83.57 eV/cell
**DFT formation energy**: -0.54 eV/atom